No. 1
The following is a DFT calculation (PBE) of crystalline LiLa2In6Ni at its relaxed geometry.

Lattice parameters (Å, degrees): 7.0893 7.0893 7.0893 119.88 119.88 90.21
Closest atoms and distances in Å follow each position.
Atoms (fractional coordinates):
Li1 0.0000 0.0000 0.0000  6 In 2.49-2.50
La1 0.2500 0.7500 0.5000  12 In 3.54-3.55
La2 0.7500 0.2500 0.5000  12 In 3.54-3.55
In1 0.2489 0.2489 0.0000  1 Li 2.49, 1 Ni 2.51
In2 0.2488 0.2488 0.4976  1 Li 2.50, 1 Ni 2.52
In3 0.2488 0.7512 0.0000  1 Li 2.50, 1 Ni 2.52
In4 0.7512 0.2488 0.0000  1 Li 2.50, 1 Ni 2.52
In5 0.7511 0.7511 0.0000  1 Li 2.49, 1 Ni 2.51
In6 0.7512 0.7512 0.5024  1 Li 2.50, 1 Ni 2.52
Ni1 0.5000 0.5000 0.0000  6 In 2.51-2.52

Computed properties:
Calculated formation energy: -0.259 eV/atom

***

No. 2
The following is a DFT calculation (PBE) of crystalline DyY3Er4 at its relaxed geometry.

Lattice parameters (Å, degrees): 11.8207 11.8207 6.6099 106.22 106.22 16.85
Closest atoms and distances in Å follow each position.
Atoms (fractional coordinates):
Dy1 0.0000 0.0000 0.0000  2 Dy 3.46, 4 Er 3.66, 8 Y 3.68-3.73
Y1 0.3743 0.3743 0.1195  5 Er 3.22-3.49, 3 Y 3.28-3.46
Y2 0.5000 0.5000 0.5000  2 Er 3.28, 4 Y 3.28-3.46
Y3 0.6257 0.6257 0.8805  5 Er 3.22-3.49, 3 Y 3.28-3.46
Er1 0.2392 0.2392 0.2429  9 Er 3.46-3.81, 3 Y 3.48-3.49
Er2 0.3751 0.3751 0.6326  3 Y 3.22-3.39, 5 Er 3.46-3.48
Er3 0.6249 0.6249 0.3674  3 Y 3.22-3.39, 5 Er 3.46-3.48
Er4 0.7608 0.7608 0.7571  9 Er 3.46-3.81, 3 Y 3.48-3.49

Computed properties:
Energy above the most stable polymorph in this dataset: 170 meV per atom
Calculated formation energy: 0.171 eV/atom

***

No. 3
The following is a DFT calculation (PBE) of crystalline RbH4Cl at its relaxed geometry.

Lattice parameters (Å, degrees): 5.4199 6.1978 6.4761 88.92 88.78 82.03
Closest atoms and distances in Å follow each position.
Atoms (fractional coordinates):
Rb1 0.2280 0.1563 0.2511  8 H 3.06-3.41, 4 Cl 3.22-3.25
Rb2 0.7720 0.8437 0.7489  8 H 3.06-3.41, 4 Cl 3.22-3.25
H1 0.1896 0.6349 0.4123  1 H 0.76
H2 0.2705 0.6434 0.9409  1 H 0.76
H3 0.2736 0.5343 0.8895  1 H 0.76
H4 0.2791 0.5707 0.4860  1 H 0.76
H5 0.7209 0.4293 0.5140  1 H 0.76
H6 0.7264 0.4657 0.1105  1 H 0.76
H7 0.7295 0.3566 0.0591  1 H 0.76
H8 0.8104 0.3651 0.5877  1 H 0.76
Cl1 0.2280 0.1300 0.7529  2 H 2.72-2.74
Cl2 0.7720 0.8700 0.2471  2 H 2.72-2.74

Computed properties:
Uncorrected energy: -3.34 eV per atom

***

No. 4
The following is a DFT calculation (PBE) of crystalline BiAsRh2 at its relaxed geometry.

Lattice parameters (Å, degrees): 8.6736 8.6736 8.6736 150.02 150.02 42.91
Closest atoms and distances in Å follow each position.
Atoms (fractional coordinates):
Bi1 0.0000 0.0000 0.0000  4 Rh 2.69
Bi2 0.7500 0.2500 0.5000  4 Rh 2.69
As1 0.2500 0.7500 0.5000  4 Rh 2.47
As2 0.5000 0.5000 0.0000  4 Rh 2.47
Rh1 0.1812 0.6250 0.0562  2 As 2.47, 2 Bi 2.69
Rh2 0.3750 0.4312 0.5562  2 As 2.47, 2 Bi 2.69
Rh3 0.5688 0.1250 0.9438  2 As 2.47, 2 Bi 2.69
Rh4 0.8750 0.8188 0.4438  2 As 2.47, 2 Bi 2.69

Computed properties:
Calculated formation energy: -0.047 eV/atom

***

No. 5
The following is a DFT calculation (PBE) of crystalline Ti4Nb2In3 at its relaxed geometry.

Lattice parameters (Å, degrees): 7.3155 7.3155 7.5325 109.71 109.71 26.75
Closest atoms and distances in Å follow each position.
Atoms (fractional coordinates):
Ti1 0.0464 0.0464 0.3330  2 Ti 2.82, 6 In 2.89-3.02
Ti2 0.2962 0.2962 0.6733  4 Ti 2.82-3.00, 2 Nb 2.86, 4 In 2.91-3.09
Ti3 0.7038 0.7038 0.3267  4 Ti 2.82-3.00, 2 Nb 2.86, 4 In 2.91-3.09
Ti4 0.9536 0.9536 0.6670  2 Ti 2.82, 6 In 2.89-3.02
Nb1 0.1735 0.1735 0.0062  2 Nb 2.78, 2 Ti 2.86, 5 In 2.97-3.05
Nb2 0.8265 0.8265 0.9938  2 Nb 2.78, 2 Ti 2.86, 5 In 2.97-3.05
In1 0.3717 0.3717 0.3377  7 Ti 2.89-3.07, 3 Nb 2.97-3.05
In2 0.5000 0.5000 0.0000  6 Ti 2.91-3.09, 4 Nb 2.98
In3 0.6283 0.6283 0.6623  7 Ti 2.89-3.07, 3 Nb 2.97-3.05

Computed properties:
Calculated formation energy: -0.065 eV/atom

***

No. 6
The following is a DFT calculation (PBE) of crystalline In2HIrCl at its relaxed geometry.

Lattice parameters (Å, degrees): 5.3091 5.3091 3.5349 90.00 90.00 90.00
Closest atoms and distances in Å follow each position.
Atoms (fractional coordinates):
In1 0.0000 0.5000 0.0000  2 Ir 2.65
In2 0.5000 0.0000 0.0000  2 Ir 2.65
H1 0.0000 0.0000 0.5000  2 Ir 1.77
Ir1 0.0000 0.0000 0.0000  2 H 1.77
Cl1 0.5000 0.5000 0.5000  8 In 3.19, 2 Cl 3.53

Computed properties:
Energy above the most stable polymorph in this dataset: 0 meV per atom

***

No. 7
The following is a DFT calculation (PBE) of crystalline Y2CuTcOs at its relaxed geometry.

Lattice parameters (Å, degrees): 5.2686 5.2686 4.6753 90.00 90.00 90.00
Closest atoms and distances in Å follow each position.
Atoms (fractional coordinates):
Y1 0.0000 0.5000 0.0000  2 Os 2.63
Y2 0.5000 0.0000 0.0000  2 Os 2.63
Cu1 0.0000 0.0000 0.5000  2 Os 2.34
Tc1 0.5000 0.5000 0.5000  8 Y 3.52, 4 Cu 3.73
Os1 0.0000 0.0000 0.0000  2 Cu 2.34

Computed properties:
Calculated formation energy: 0.951 eV/atom

***

No. 8
The following is a DFT calculation (PBE) of crystalline DyNpFe at its relaxed geometry.

Lattice parameters (Å, degrees): 5.5124 5.5124 6.7590 125.76 125.76 51.28
Closest atoms and distances in Å follow each position.
Atoms (fractional coordinates):
Dy1 0.0894 0.0894 0.3599  5 Fe 2.94-3.18, 3 Np 3.09-3.26
Dy2 0.9106 0.9106 0.6401  5 Fe 2.94-3.18, 3 Np 3.09-3.26
Np1 0.3741 0.3741 0.9932  1 Fe 2.13
Np2 0.6259 0.6259 0.0068  1 Fe 2.13
Fe1 0.3476 0.3476 0.2810  1 Np 2.13
Fe2 0.6524 0.6524 0.7190  1 Np 2.13

Computed properties:
Calculated formation energy: 0.118 eV/atom

***

No. 9
The following is a DFT calculation (PBE) of crystalline CsTiAg2S4 at its relaxed geometry.

Lattice parameters (Å, degrees): 6.6660 6.6660 6.6660 122.72 110.09 96.66
Closest atoms and distances in Å follow each position.
Atoms (fractional coordinates):
Cs1 0.0000 0.0000 0.0000  8 S 3.42-3.58
Ti1 0.5000 0.5000 0.0000  4 S 2.29
Ag1 0.3374 0.8374 0.5000  2 S 2.41
Ag2 0.6626 0.1626 0.5000  2 S 2.41
S1 0.1665 0.1563 0.6287  1 Ti 2.29, 1 Ag 2.41
S2 0.4724 0.8437 0.0102  1 Ti 2.29, 1 Ag 2.41
S3 0.5276 0.5378 0.3713  1 Ti 2.29, 1 Ag 2.41
S4 0.8335 0.4622 0.9898  1 Ti 2.29, 1 Ag 2.41

Computed properties:
ΔE_f (raw): -688 meV/atom

***

No. 10
The following is a DFT calculation (PBE) of crystalline ErPuCuPb at its relaxed geometry.

Lattice parameters (Å, degrees): 5.2123 5.2123 5.2123 60.00 60.00 60.00
Closest atoms and distances in Å follow each position.
Atoms (fractional coordinates):
Er1 0.0000 0.0000 0.0000  4 Cu 3.19, 4 Pb 3.19
Pu1 0.5000 0.5000 0.5000  4 Cu 3.19, 4 Pb 3.19
Cu1 0.7500 0.7500 0.7500  4 Pu 3.19, 4 Er 3.19
Pb1 0.2500 0.2500 0.2500  4 Er 3.19, 4 Pu 3.19

Computed properties:
Calculated formation energy: -0.106 eV/atom

***

No. 11
The following is a DFT calculation (PBE) of crystalline K3Ga at its relaxed geometry.

Lattice parameters (Å, degrees): 6.9299 6.9299 6.9299 131.06 131.06 71.72
Closest atoms and distances in Å follow each position.
Atoms (fractional coordinates):
K1 0.0000 0.0000 0.0000  8 K 4.02, 4 Ga 4.06
K2 0.2500 0.7500 0.5000  8 K 4.02-4.06, 4 Ga 4.02
K3 0.7500 0.2500 0.5000  8 K 4.02-4.06, 4 Ga 4.02
Ga1 0.5000 0.5000 0.0000  12 K 4.02-4.06

Computed properties:
Calculated formation energy: 0.154 eV/atom

***

No. 12
The following is a DFT calculation (PBE) of crystalline Tb2SiNi7 at its relaxed geometry.

Lattice parameters (Å, degrees): 3.8025 3.8025 10.2080 90.00 90.00 90.00
Closest atoms and distances in Å follow each position.
Atoms (fractional coordinates):
Tb1 0.0000 0.5000 0.2392  12 Ni 2.87-3.09
Tb2 0.5000 0.0000 0.7608  12 Ni 2.87-3.09
Si1 0.0000 0.0000 0.5000  4 Ni 2.33
Ni1 0.0000 0.0000 0.0000  4 Ni 2.39
Ni2 0.0000 0.5000 0.6312  3 Ni 2.31-2.33, 2 Si 2.33
Ni3 0.0000 0.5000 0.8578  5 Ni 2.31-2.39
Ni4 0.5000 0.0000 0.1422  5 Ni 2.31-2.39
Ni5 0.5000 0.0000 0.3688  3 Ni 2.31-2.33, 2 Si 2.33
Ni6 0.5000 0.5000 0.0000  4 Ni 2.39
Ni7 0.5000 0.5000 0.5000  4 Ni 2.33

Computed properties:
ΔE_f (raw): -336 meV/atom